Entry 1:
A plane-wave DFT calculation with PBE was carried out for a relaxed Sm2Te crystal.

Summary:
For the electronic total energy, the calculation gives -3.31 eV/atom. As for the space group: Fd-3m (227). For the calculated volume, the calculation gives 106.8 A^3/atom.

Cell lengths 9.676, 9.676, 9.676 Å; angles 60.00, 60.00, 60.00 degrees
Element x y z (fractional)
Sm (0.000, 0.000, 0.000)
Sm (0.000, 0.000, 0.500)
Sm (0.000, 0.500, 0.000)
Sm (0.500, 0.000, 0.000)
Te (0.125, 0.125, 0.125)
Te (0.875, 0.875, 0.875)


Entry 2:
A plane-wave DFT calculation with PBE was carried out for a relaxed Sm3Te2 crystal.

Summary:
For the electronic total energy, the calculation gives -5.21 eV/atom. As for the space group: Pnma (62). For the calculated volume, the calculation gives 30.5 A^3/atom.

Cell lengths 12.119, 4.217, 11.937 Å; angles 90.00, 90.00, 90.00 degrees
Element x y z (fractional)
Sm (0.046, 0.250, 0.124)
Sm (0.121, 0.750, 0.564)
Sm (0.213, 0.250, 0.793)
Sm (0.287, 0.750, 0.293)
Sm (0.379, 0.250, 0.064)
Sm (0.454, 0.750, 0.624)
Sm (0.546, 0.250, 0.376)
Sm (0.621, 0.750, 0.936)
Sm (0.713, 0.250, 0.707)
Sm (0.787, 0.750, 0.207)
Sm (0.879, 0.250, 0.436)
Sm (0.954, 0.750, 0.876)
Te (0.029, 0.750, 0.317)
Te (0.193, 0.750, 0.995)
Te (0.307, 0.250, 0.495)
Te (0.471, 0.250, 0.817)
Te (0.529, 0.750, 0.183)
Te (0.693, 0.750, 0.505)
Te (0.807, 0.250, 0.005)
Te (0.971, 0.250, 0.683)


Entry 3:
A plane-wave DFT calculation with PBE was carried out for a relaxed SmTe2 crystal.

Summary:
For the electronic total energy, the calculation gives -4.16 eV/atom. As for the space group: Fd-3m (227). For the calculated volume, the calculation gives 105.6 A^3/atom.

Cell lengths 9.642, 9.642, 9.642 Å; angles 60.00, 60.00, 60.00 degrees
Element x y z (fractional)
Sm (0.125, 0.125, 0.125)
Sm (0.875, 0.875, 0.875)
Te (0.000, 0.000, 0.000)
Te (0.000, 0.000, 0.500)
Te (0.000, 0.500, 0.000)
Te (0.500, 0.000, 0.000)


Entry 4:
A plane-wave DFT calculation with PBE was carried out for a relaxed Sm5Te6 crystal.

Summary:
For the electronic total energy, the calculation gives -5.31 eV/atom. As for the space group: C2/m (12). For the calculated volume, the calculation gives 33.1 A^3/atom.

Cell lengths 7.636, 7.636, 7.636 Å; angles 99.66, 99.66, 119.82 degrees
Element x y z (fractional)
Sm (0.000, 0.000, 0.000)
Sm (0.164, 0.836, 0.500)
Sm (0.331, 0.669, 0.000)
Sm (0.669, 0.331, 0.000)
Sm (0.836, 0.164, 0.500)
Te (0.097, 0.420, 0.257)
Te (0.259, 0.259, 0.745)
Te (0.420, 0.097, 0.257)
Te (0.580, 0.903, 0.743)
Te (0.741, 0.741, 0.255)
Te (0.903, 0.580, 0.743)


Entry 5:
A plane-wave DFT calculation with PBE was carried out for a relaxed SmThTe crystal.

Summary:
For the electronic total energy, the calculation gives -5.46 eV/atom. As for the space group: F-43m (216). The energy above the most stable polymorph in this dataset is 0.000 eV/atom. For the calculated volume, the calculation gives 33.5 A^3/atom.

Cell lengths 5.219, 5.219, 5.219 Å; angles 60.00, 60.00, 60.00 degrees
Element x y z (fractional)
Sm (0.000, 0.000, 0.000)
Th (0.500, 0.500, 0.500)
Te (0.250, 0.250, 0.250)


Entry 6:
A plane-wave DFT calculation with PBE was carried out for a relaxed Sm2Th2Te7 crystal.

Summary:
For the electronic total energy, the calculation gives -5.50 eV/atom. As for the space group: Imm2 (44). For the calculated volume, the calculation gives 32.1 A^3/atom.

Cell lengths 9.670, 9.670, 9.670 Å; angles 153.40, 68.29, 118.41 degrees
Element x y z (fractional)
Sm (0.000, 0.000, 0.000)
Sm (0.545, 0.045, 0.500)
Th (0.469, 0.232, 0.237)
Th (0.995, 0.232, 0.763)
Te (0.177, 0.534, 0.643)
Te (0.253, 0.934, 0.319)
Te (0.312, 0.312, 0.000)
Te (0.610, 0.721, 0.889)
Te (0.616, 0.934, 0.681)
Te (0.833, 0.721, 0.111)
Te (0.891, 0.534, 0.357)